(1)
Here is a geometry-optimized ScGeSe4 structure from Alexandria via LeMat-Bulk. Energies are from GGA-PBE.

Values from the calculation:
The value obtained for the formation energy from raw total energies is -0.613 eV/atom. The calculation puts the size of the total moment at 0.000 μB/cell.

Cell and atoms, written as CIF:
```
data_ScGeSe4
_chemical_formula_sum 'Sc2 Ge2 Se8'
_symmetry_space_group_name_H-M 'P 1'
_symmetry_Int_Tables_number 1
_cell_length_a 6.123
_cell_length_b 6.123
_cell_length_c 9.017
_cell_angle_alpha 90.00
_cell_angle_beta 90.00
_cell_angle_gamma 72.60
loop_
_symmetry_equiv_pos_as_xyz
'x,y,z'
loop_
_atom_site_label
_atom_site_fract_x
_atom_site_fract_y
_atom_site_fract_z
_atom_site_occupancy
Sc1 0.125 0.875 0.750 1
Sc2 0.875 0.125 0.250 1
Ge1 0.422 0.578 0.250 1
Ge2 0.578 0.422 0.750 1
Se1 0.179 0.821 0.063 1
Se2 0.179 0.821 0.437 1
Se3 0.193 0.418 0.750 1
Se4 0.418 0.193 0.250 1
Se5 0.582 0.807 0.750 1
Se6 0.807 0.582 0.250 1
Se7 0.821 0.179 0.563 1
Se8 0.821 0.179 0.937 1
```

=====

(2)
Here is a geometry-optimized Ac2PS structure from Alexandria via LeMat-Bulk. Energies are from GGA-PBE.

Values from the calculation:
The value obtained for the formation energy from raw total energies is -1.799 eV/atom. The value obtained for the energy above the most stable polymorph in this dataset is 0.004 eV/atom. The calculation puts the size of the total moment at 0.000 μB/cell.

Cell and atoms, written as CIF:
```
data_Ac2PS
_chemical_formula_sum 'Ac2 P1 S1'
_symmetry_space_group_name_H-M 'P 1'
_symmetry_Int_Tables_number 1
_cell_length_a 7.591
_cell_length_b 7.591
_cell_length_c 7.591
_cell_angle_alpha 33.56
_cell_angle_beta 33.56
_cell_angle_gamma 33.56
loop_
_symmetry_equiv_pos_as_xyz
'x,y,z'
loop_
_atom_site_label
_atom_site_fract_x
_atom_site_fract_y
_atom_site_fract_z
_atom_site_occupancy
Ac1 0.248 0.248 0.248 1
Ac2 0.752 0.752 0.752 1
P1 0.500 0.500 0.500 1
S1 0.000 0.000 0.000 1
```

=====

(3)
Here is a geometry-optimized V2FePt2 structure from Alexandria via LeMat-Bulk. Energies are from GGA-PBE.

Values from the calculation:
The value obtained for the energy above the most stable polymorph in this dataset is 0.000 eV/atom. The calculation puts the size of the total moment at 1.055 μB/cell. Its energy of formation is -179.0 kJ/mol of formula units.

Cell and atoms, written as CIF:
```
data_V2FePt2
_chemical_formula_sum 'V2 Fe1 Pt2'
_symmetry_space_group_name_H-M 'P 1'
_symmetry_Int_Tables_number 1
_cell_length_a 4.681
_cell_length_b 4.681
_cell_length_c 6.041
_cell_angle_alpha 129.63
_cell_angle_beta 129.63
_cell_angle_gamma 46.98
loop_
_symmetry_equiv_pos_as_xyz
'x,y,z'
loop_
_atom_site_label
_atom_site_fract_x
_atom_site_fract_y
_atom_site_fract_z
_atom_site_occupancy
V1 0.088 0.088 0.300 1
V2 0.912 0.912 0.700 1
Fe1 0.500 0.500 0.500 1
Pt1 0.295 0.295 0.883 1
Pt2 0.705 0.705 0.117 1
```

=====

(4)
Here is a geometry-optimized Pm4Dy11Tm9 structure from Alexandria via LeMat-Bulk. Energies are from GGA-PBE.

Values from the calculation:
The calculation puts the size of the total moment at 0.000 μB/cell. Its energy of formation is 130.8 kJ/mol of formula units.

Cell and atoms, written as CIF:
```
data_Pm4Dy11Tm9
_chemical_formula_sum 'Pm4 Dy11 Tm9'
_symmetry_space_group_name_H-M 'P 1'
_symmetry_Int_Tables_number 1
_cell_length_a 14.659
_cell_length_b 14.659
_cell_length_c 3.513
_cell_angle_alpha 90.00
_cell_angle_beta 90.00
_cell_angle_gamma 91.91
loop_
_symmetry_equiv_pos_as_xyz
'x,y,z'
loop_
_atom_site_label
_atom_site_fract_x
_atom_site_fract_y
_atom_site_fract_z
_atom_site_occupancy
Pm1 0.049 0.221 0.000 1
Pm2 0.221 0.049 0.000 1
Pm3 0.779 0.951 0.000 1
Pm4 0.951 0.779 0.000 1
Dy1 0.085 0.422 0.500 1
Dy2 0.159 0.841 0.500 1
Dy3 0.259 0.259 0.500 1
Dy4 0.331 0.669 0.500 1
Dy5 0.422 0.085 0.500 1
Dy6 0.500 0.500 0.500 1
Dy7 0.578 0.915 0.500 1
Dy8 0.669 0.331 0.500 1
Dy9 0.741 0.741 0.500 1
Dy10 0.841 0.159 0.500 1
Dy11 0.915 0.578 0.500 1
Tm1 0.000 0.000 0.000 1
Tm2 0.124 0.629 0.000 1
Tm3 0.294 0.464 0.000 1
Tm4 0.371 0.876 0.000 1
Tm5 0.464 0.294 0.000 1
Tm6 0.536 0.706 0.000 1
Tm7 0.629 0.124 0.000 1
Tm8 0.706 0.536 0.000 1
Tm9 0.876 0.371 0.000 1
```

=====

(5)
Here is a geometry-optimized BeTlCl2 structure from Alexandria via LeMat-Bulk. Energies are from GGA-PBE.

Values from the calculation:
The value obtained for the formation energy from raw total energies is -0.657 eV/atom. The value obtained for the energy above the most stable polymorph in this dataset is 0.110 eV/atom. The calculation puts the size of the total moment at 0.000 μB/cell.

Cell and atoms, written as CIF:
```
data_BeTlCl2
_chemical_formula_sum 'Be1 Tl1 Cl2'
_symmetry_space_group_name_H-M 'P 1'
_symmetry_Int_Tables_number 1
_cell_length_a 3.660
_cell_length_b 3.068
_cell_length_c 11.189
_cell_angle_alpha 90.00
_cell_angle_beta 93.39
_cell_angle_gamma 90.00
loop_
_symmetry_equiv_pos_as_xyz
'x,y,z'
loop_
_atom_site_label
_atom_site_fract_x
_atom_site_fract_y
_atom_site_fract_z
_atom_site_occupancy
Be1 0.000 0.000 0.000 1
Tl1 0.500 0.000 0.500 1
Cl1 0.125 0.500 0.879 1
Cl2 0.875 0.500 0.121 1
```

=====

(6)
Here is a geometry-optimized La2Cr structure from Alexandria via LeMat-Bulk. Energies are from GGA-PBE.

Values from the calculation:
The calculation puts the size of the total moment at 7.830 μB/cell. Its energy of formation is 258.3 kJ/mol of formula units.

Cell and atoms, written as CIF:
```
data_La2Cr
_chemical_formula_sum 'La4 Cr2'
_symmetry_space_group_name_H-M 'P 1'
_symmetry_Int_Tables_number 1
_cell_length_a 6.447
_cell_length_b 6.447
_cell_length_c 6.447
_cell_angle_alpha 60.00
_cell_angle_beta 60.00
_cell_angle_gamma 60.00
loop_
_symmetry_equiv_pos_as_xyz
'x,y,z'
loop_
_atom_site_label
_atom_site_fract_x
_atom_site_fract_y
_atom_site_fract_z
_atom_site_occupancy
La1 0.000 0.000 0.000 1
La2 0.000 0.000 0.500 1
La3 0.000 0.500 0.000 1
La4 0.500 0.000 0.000 1
Cr1 0.375 0.375 0.375 1
Cr2 0.625 0.625 0.625 1
```